1.
First-principles (PBE-GGA) data for Nb3GeB after structural relaxation, as listed in Alexandria.

Unit cell a=6.1230 b=6.1230 c=4.8617 alpha=90.00 beta=90.00 gamma=120.00
Atoms (fractional coordinates):
1 Nb 0.1747 0.3494 0.2500
2 Nb 0.1747 0.8253 0.2500
3 Nb 0.3494 0.1747 0.7500
4 Nb 0.6506 0.8253 0.2500
5 Nb 0.8253 0.1747 0.7500
6 Nb 0.8253 0.6506 0.7500
7 Ge 0.3333 0.6667 0.7500
8 Ge 0.6667 0.3333 0.2500
9 B 0.0000 0.0000 0.0000
10 B 0.0000 0.0000 0.5000

- crystal system = hexagonal
- calculated formation energy (eV per atom) = -0.2061

=====

2.
First-principles (PBE-GGA) data for Nb4Ge2B after structural relaxation, as listed in Alexandria.

Unit cell a=4.2061 b=4.2061 c=13.7765 alpha=90.00 beta=90.00 gamma=90.00
Atoms (fractional coordinates):
1 Nb 0.0000 0.0000 0.1646
2 Nb 0.0000 0.0000 0.8354
3 Nb 0.0000 0.5000 0.0000
4 Nb 0.0000 0.5000 0.5000
5 Nb 0.5000 0.0000 0.0000
6 Nb 0.5000 0.0000 0.5000
7 Nb 0.5000 0.5000 0.3354
8 Nb 0.5000 0.5000 0.6646
9 Ge 0.0000 0.0000 0.3576
10 Ge 0.0000 0.0000 0.6424
11 Ge 0.5000 0.5000 0.1424
12 Ge 0.5000 0.5000 0.8576
13 B 0.0000 0.0000 0.0000
14 B 0.5000 0.5000 0.5000

- crystal system = tetragonal
- calculated formation energy (eV per atom) = -0.0918

=====

3.
First-principles (PBE-GGA) data for Nb4GeB after structural relaxation, as listed in Alexandria.

Unit cell a=6.0458 b=6.0458 c=5.1191 alpha=90.00 beta=90.00 gamma=90.00
Atoms (fractional coordinates):
1 Nb 0.1433 0.3155 0.0000
2 Nb 0.1433 0.6845 0.5000
3 Nb 0.3155 0.1433 0.5000
4 Nb 0.3155 0.8567 0.0000
5 Nb 0.6845 0.1433 0.0000
6 Nb 0.6845 0.8567 0.5000
7 Nb 0.8567 0.3155 0.5000
8 Nb 0.8567 0.6845 0.0000
9 Ge 0.5000 0.5000 0.2500
10 Ge 0.5000 0.5000 0.7500
11 B 0.0000 0.0000 0.2500
12 B 0.0000 0.0000 0.7500

- crystal system = tetragonal
- calculated formation energy (eV per atom) = -0.4741

=====

4.
First-principles (PBE-GGA) data for Nb3GeB after structural relaxation, as listed in Alexandria.

Unit cell a=4.3499 b=4.3499 c=4.3499 alpha=90.00 beta=90.00 gamma=90.00
Atoms (fractional coordinates):
1 Nb 0.0000 0.0000 0.5000
2 Nb 0.0000 0.5000 0.0000
3 Nb 0.5000 0.0000 0.0000
4 Ge 0.5000 0.5000 0.5000
5 B 0.0000 0.0000 0.0000

- crystal system = cubic
- calculated formation energy (eV per atom) = -0.0166

=====

5.
First-principles (PBE-GGA) data for Nb4GeB after structural relaxation, as listed in Alexandria.

Unit cell a=5.6815 b=5.8966 c=6.1125 alpha=90.00 beta=96.91 gamma=90.00
Atoms (fractional coordinates):
1 Nb 0.1072 0.1631 0.1833
2 Nb 0.1072 0.3369 0.6833
3 Nb 0.3519 0.6271 0.1120
4 Nb 0.3519 0.8729 0.6120
5 Nb 0.6481 0.1271 0.3880
6 Nb 0.6481 0.3729 0.8880
7 Nb 0.8928 0.6631 0.3167
8 Nb 0.8928 0.8369 0.8167
9 Ge 0.5000 0.0000 0.0000
10 Ge 0.5000 0.5000 0.5000
11 B 0.0000 0.0000 0.5000
12 B 0.0000 0.5000 0.0000

- crystal system = monoclinic
- calculated formation energy (eV per atom) = -0.0694

=====

6.
First-principles (PBE-GGA) data for NbGeBO2 after structural relaxation, as listed in Alexandria.

Unit cell a=3.5378 b=3.5378 c=4.8004 alpha=90.00 beta=90.00 gamma=90.00
Atoms (fractional coordinates):
1 Nb 0.0000 0.0000 0.0000
2 Ge 0.5000 0.5000 0.0000
3 B 0.0000 0.0000 0.5000
4 O 0.0000 0.5000 0.5000
5 O 0.5000 0.0000 0.5000

- crystal system = tetragonal
- ΔE_f (raw) (eV/atom) = 0.25

=====

7.
First-principles (PBE-GGA) data for NbGeB2Os after structural relaxation, as listed in Alexandria.

Unit cell a=4.0267 b=4.0267 c=5.1576 alpha=90.00 beta=90.00 gamma=90.00
Atoms (fractional coordinates):
1 Nb 0.0000 0.0000 0.0000
2 Ge 0.5000 0.5000 0.0000
3 B 0.0000 0.5000 0.5000
4 B 0.5000 0.0000 0.5000
5 Os 0.0000 0.0000 0.5000

- crystal system = tetragonal
- calculated formation energy (eV per atom) = 0.8027

=====

8.
First-principles (PBE-GGA) data for Nb2GeBP after structural relaxation, as listed in Alexandria.

Unit cell a=4.7541 b=4.7541 c=3.5623 alpha=90.00 beta=90.00 gamma=90.00
Atoms (fractional coordinates):
1 Nb 0.0000 0.5000 0.0000
2 Nb 0.5000 0.0000 0.0000
3 Ge 0.0000 0.0000 0.5000
4 B 0.5000 0.5000 0.5000
5 P 0.5000 0.5000 0.0000

- crystal system = tetragonal
- calculated formation energy (eV per atom) = 0.4684

=====

9.
First-principles (PBE-GGA) data for Nb2GeB2Ru5 after structural relaxation, as listed in Alexandria.

Unit cell a=9.3632 b=9.3632 c=2.9751 alpha=90.00 beta=90.00 gamma=90.00
Atoms (fractional coordinates):
1 Nb 0.1764 0.3236 0.0000
2 Nb 0.3236 0.8236 0.0000
3 Nb 0.6764 0.1764 0.0000
4 Nb 0.8236 0.6764 0.0000
5 Ge 0.0000 0.0000 0.0000
6 Ge 0.5000 0.5000 0.0000
7 B 0.1240 0.6240 0.0000
8 B 0.3760 0.1240 0.0000
9 B 0.6240 0.8760 0.0000
10 B 0.8760 0.3760 0.0000
11 Ru 0.0000 0.5000 0.5000
12 Ru 0.0681 0.7858 0.5000
13 Ru 0.2142 0.0681 0.5000
14 Ru 0.2858 0.5681 0.5000
15 Ru 0.4319 0.2858 0.5000
16 Ru 0.5000 0.0000 0.5000
17 Ru 0.5681 0.7142 0.5000
18 Ru 0.7142 0.4319 0.5000
19 Ru 0.7858 0.9319 0.5000
20 Ru 0.9319 0.2142 0.5000

- crystal system = tetragonal
- calculated formation energy (eV per atom) = -0.5132

=====

10.
First-principles (PBE-GGA) data for NbGeBRu2 after structural relaxation, as listed in Alexandria.

Unit cell a=4.4402 b=4.4402 c=4.7771 alpha=90.00 beta=90.00 gamma=90.00
Atoms (fractional coordinates):
1 Nb 0.0000 0.0000 0.0000
2 Ge 0.0000 0.0000 0.5000
3 B 0.5000 0.5000 0.0000
4 Ru 0.0000 0.5000 0.5000
5 Ru 0.5000 0.0000 0.5000

- crystal system = tetragonal
- calculated formation energy (eV per atom) = 1.8232

=====

11.
First-principles (PBE-GGA) data for NbGeB2Sb after structural relaxation, as listed in Alexandria.

Unit cell a=4.2445 b=4.2445 c=5.4821 alpha=90.00 beta=90.00 gamma=90.00
Atoms (fractional coordinates):
1 Nb 0.0000 0.0000 0.0000
2 Ge 0.5000 0.5000 0.0000
3 B 0.0000 0.5000 0.5000
4 B 0.5000 0.0000 0.5000
5 Sb 0.5000 0.5000 0.5000

- crystal system = tetragonal
- ΔE_f (raw) (eV/atom) = 2.01

=====

12.
First-principles (PBE-GGA) data for NdGeB after structural relaxation, as listed in Alexandria.

Unit cell a=3.6873 b=3.6873 c=4.4027 alpha=90.00 beta=90.00 gamma=120.00
Atoms (fractional coordinates):
1 Nd 0.0000 0.0000 0.0000
2 Ge 0.6667 0.3333 0.5000
3 B 0.3333 0.6667 0.5000

- crystal system = hexagonal
- calculated formation energy (eV per atom) = -0.4635

=====

Which formula does entry 3 have?
Nb4GeB

=====

What did the seventh record say?
First-principles (PBE-GGA) data for NbGeB2Os after structural relaxation, as listed in Alexandria.

Unit cell a=4.0267 b=4.0267 c=5.1576 alpha=90.00 beta=90.00 gamma=90.00
Atoms (fractional coordinates):
1 Nb 0.0000 0.0000 0.0000
2 Ge 0.5000 0.5000 0.0000
3 B 0.0000 0.5000 0.5000
4 B 0.5000 0.0000 0.5000
5 Os 0.0000 0.0000 0.5000

- crystal system = tetragonal
- calculated formation energy (eV per atom) = 0.8027